[1]
Nd8CuRh5 | PBE | relaxed

a = 8.9315 Å, b = 8.9315 Å, c = 8.8838 Å
α = 90.00°, β = 90.00°, γ = 90.00°
Closest atoms and distances in Å follow each position.
Space group I-4 (No. 82)
Unique sites:
1 Nd 0.0578 0.1938 0.3204  3 Rh 2.84-2.87
2 Nd 0.0618 0.3136 0.9316  2 Rh 2.84-2.85, 1 Cu 2.92
3 Cu 0.0000 0.0000 0.0000  4 Nd 2.92
4 Rh 0.0000 0.5000 0.2500  4 Nd 2.85
5 Rh 0.1300 0.2529 0.6256  4 Nd 2.84-2.87

ΔE_f = -0.55 eV per atom

***

[2]
Nd4CuRh | PBE | relaxed

a = 9.5514 Å, b = 9.5514 Å, c = 8.5638 Å
α = 90.00°, β = 90.00°, γ = 90.00°
Closest atoms and distances in Å follow each position.
Space group I4_1md (No. 109)
Unique sites:
1 Nd 0.0000 0.3008 0.0000  2 Rh 2.81-2.87, 1 Cu 2.94
2 Nd 0.0000 0.3014 0.4845  1 Rh 2.81, 2 Cu 2.88-2.89
3 Cu 0.0000 0.0000 0.4889  6 Nd 2.88-2.94
4 Rh 0.0000 0.0000 0.9921  6 Nd 2.81-2.87

ΔE_f = -0.15 eV per atom

***

[3]
Nd3Cu2Rh | PBE | relaxed

a = 11.8332 Å, b = 4.2365 Å, c = 11.7242 Å
α = 90.00°, β = 90.00°, γ = 90.00°
Closest atoms and distances in Å follow each position.
Space group Pnma (No. 62)
Unique sites:
1 Nd 0.0503 0.2500 0.1239  1 Rh 2.98, 5 Cu 3.06-3.22
2 Nd 0.1195 0.7500 0.5540  3 Rh 3.01-3.04, 5 Cu 3.08-3.16
3 Nd 0.2250 0.2500 0.7954  2 Rh 2.91, 4 Cu 3.05-3.19
4 Cu 0.0116 0.7500 0.3079  2 Rh 2.59
5 Cu 0.1943 0.7500 0.9965  1 Rh 2.64
6 Rh 0.1224 0.2500 0.3676  3 Cu 2.59-2.64

ΔE_f = -0.32 eV per atom

***

[4]
Nd4CuRh3 | PBE | relaxed

a = 3.9377 Å, b = 4.3855 Å, c = 10.8420 Å
α = 90.00°, β = 90.00°, γ = 90.00°
Closest atoms and distances in Å follow each position.
Space group Pmm2 (No. 25)
Unique sites:
1 Nd 0.0000 0.0000 0.0000  6 Rh 2.98-3.11, 1 Cu 3.19
2 Nd 0.0000 0.5000 0.2727  7 Rh 3.00-3.19
3 Nd 0.5000 0.0000 0.4902  5 Rh 2.91-3.05, 2 Cu 3.06
4 Nd 0.5000 0.5000 0.7724  3 Rh 2.91-3.02, 4 Cu 3.03
5 Cu 0.0000 0.0000 0.7061  2 Rh 2.70
6 Rh 0.0000 0.5000 0.5615  2 Cu 2.70, 2 Nd 3.02
7 Rh 0.5000 0.0000 0.2220  7 Nd 2.91-3.11, 2 Rh 2.95
8 Rh 0.5000 0.5000 0.0407  7 Nd 2.91-3.19, 2 Rh 2.95

ΔE_f = -0.59 eV per atom

***

[5]
Nd2CuSb3Rh4 | PBE | relaxed

a = 4.3660 Å, b = 4.3660 Å, c = 10.8251 Å
α = 90.00°, β = 90.00°, γ = 90.00°
Closest atoms and distances in Å follow each position.
Space group P-4m2 (No. 115)
Unique sites:
1 Nd 0.0000 0.5000 0.2367  8 Rh 3.30-3.59, 2 Cu 3.37, 6 Sb 3.37-3.38
2 Cu 0.5000 0.5000 0.0000  4 Rh 2.59
3 Sb 0.0000 0.0000 0.0000  4 Rh 2.59
4 Sb 0.0000 0.5000 0.6373  5 Rh 2.54-2.64
5 Rh 0.0000 0.0000 0.5000  4 Sb 2.64
6 Rh 0.0000 0.5000 0.8721  3 Sb 2.54-2.59, 2 Cu 2.59
7 Rh 0.5000 0.5000 0.5000  4 Sb 2.64

formation energy without anion corrections = -735 meV/atom

***

[6]
NdScCuRh | PBE | relaxed

a = 6.8475 Å, b = 6.8475 Å, c = 6.8475 Å
α = 90.00°, β = 90.00°, γ = 90.00°
Closest atoms and distances in Å follow each position.
Space group F-43m (No. 216)
Unique sites:
1 Nd 0.0000 0.0000 0.0000  4 Cu 2.97, 4 Rh 2.97
2 Sc 0.0000 0.0000 0.5000  4 Rh 2.97, 4 Cu 2.97
3 Cu 0.2500 0.2500 0.2500  4 Nd 2.97, 4 Sc 2.97
4 Rh 0.2500 0.2500 0.7500  4 Nd 2.97, 4 Sc 2.97

ΔE_f = -0.45 eV per atom

***

[7]
Nd2CuSi4Rh3 | PBE | relaxed

a = 4.2008 Å, b = 4.2008 Å, c = 9.8228 Å
α = 90.00°, β = 90.00°, γ = 90.00°
Closest atoms and distances in Å follow each position.
Space group P-4m2 (No. 115)
Unique sites:
1 Nd 0.0000 0.5000 0.2465  6 Rh 3.20-3.26, 8 Si 3.21, 2 Cu 3.26
2 Cu 0.0000 0.0000 0.5000  4 Si 2.46
3 Si 0.0000 0.0000 0.0000  4 Rh 2.43
4 Si 0.0000 0.5000 0.6295  3 Rh 2.42-2.46, 2 Cu 2.46
5 Si 0.5000 0.5000 0.0000  4 Rh 2.43
6 Rh 0.0000 0.5000 0.8756  5 Si 2.42-2.43
7 Rh 0.5000 0.5000 0.5000  4 Si 2.46

formation energy without anion corrections = -884 meV/atom

***

[8]
NdCuSi2Rh | PBE | relaxed

a = 4.1255 Å, b = 4.1255 Å, c = 9.9963 Å
α = 90.00°, β = 90.00°, γ = 90.00°
Closest atoms and distances in Å follow each position.
Space group I-4m2 (No. 119)
Unique sites:
1 Nd 0.0000 0.0000 0.0000  8 Si 3.16, 4 Rh 3.24, 4 Cu 3.24
2 Cu 0.0000 0.5000 0.2500  4 Si 2.43
3 Si 0.0000 0.0000 0.3780  2 Cu 2.43, 2 Rh 2.43, 1 Si 2.44
4 Rh 0.0000 0.5000 0.7500  4 Si 2.43

formation energy without anion corrections = -786 meV/atom